1.
HoPu2PaSb4 after structural relaxation, computed with GGA-PBE. Values from VASP.

Calculated values
Its space group is No. 10. As for the density of states at the Fermi level: 3.94 states/eV per atom. For the final energy, the calculation gives -8.108 eV/atom. Its magnetization is 0.031 μB per atom. Its uncorrected formation energy is -0.7050 eV per atom.

```
&SYSTEM
  ibrav = 0, nat = 8, ntyp = 4
/
ATOMIC_SPECIES
Ho 164.93 Ho.upf
Pu 244.00 Pu.upf
Pa 231.04 Pa.upf
Sb 121.76 Sb.upf
ATOMIC_POSITIONS crystal
Ho 0.000 0.000 0.000
Pu 0.500 0.000 0.500
Pu 0.500 0.500 0.000
Pa 0.000 0.500 0.500
Sb 0.244 0.000 0.748
Sb 0.245 0.500 0.250
Sb 0.755 0.500 0.750
Sb 0.756 0.000 0.252
CELL_PARAMETERS angstrom
7.610 0.000 0.000
0.000 4.408 0.000
-2.557 0.000 7.173
```

---

2.
HoPu2PaSe4 after structural relaxation, computed with GGA-PBE. Values from VASP.

Calculated values
Its space group is No. 10. As for the density of states at the Fermi level: 2.12 states/eV per atom. For the final energy, the calculation gives -8.583 eV/atom. Its magnetization is 1.388 μB per atom. Its uncorrected formation energy is -1.4988 eV per atom.

```
&SYSTEM
  ibrav = 0, nat = 8, ntyp = 4
/
ATOMIC_SPECIES
Ho 164.93 Ho.upf
Pu 244.00 Pu.upf
Pa 231.04 Pa.upf
Se 78.96 Se.upf
ATOMIC_POSITIONS crystal
Ho 0.000 0.000 0.000
Pu 0.000 0.500 0.500
Pu 0.500 0.000 0.500
Pa 0.500 0.500 0.000
Se 0.246 0.500 0.245
Se 0.247 0.000 0.751
Se 0.753 0.000 0.249
Se 0.754 0.500 0.755
CELL_PARAMETERS angstrom
7.098 0.000 0.000
0.000 4.054 0.000
-2.314 0.000 6.740
```

---

What is the final energy in the second record? -8.583 eV/atom